Tb5Cu4Ag: optimized geometry, PBE.

a b c (Å): 3.4971 3.4971 17.8191
angles (deg): 90.00 90.00 90.00
Closest atoms and distances in Å follow each position.
Atoms (fractional coordinates):
Cu  0.0000  0.0000  0.7943  8 Tb 3.02-3.03
Tb  0.5000  0.5000  0.6958  8 Cu 3.03
Ag  0.0000  0.0000  0.0000  8 Tb 3.14, 4 Ag 3.50
Cu  0.0000  0.0000  0.5977  8 Tb 3.02-3.03
Cu  0.0000  0.0000  0.4023  8 Tb 3.02-3.03
Tb  0.5000  0.5000  0.3042  8 Cu 3.03
Tb  0.5000  0.5000  0.5000  8 Cu 3.02
Cu  0.0000  0.0000  0.2057  8 Tb 3.02-3.03
Tb  0.5000  0.5000  0.1087  4 Cu 3.02, 4 Ag 3.14
Tb  0.5000  0.5000  0.8913  4 Cu 3.02, 4 Ag 3.14

Output
- E_form: -0.25 eV per atom
- Calculated total energy: -44.9 eV per formula unit
- Calculated volume: 218 Å³/f.u.